# 1
NiH2I: optimized geometry, PBE-GGA.

Output
**Excess energy over the best structure of this formula in the dataset**: 670 meV per atom

Cell: 3.9976 3.9976 3.9976 Å, 60.00 60.00 60.00°
Last column: nearest neighbours and their distance in Å.
Fractional coordinates of all 4 atoms:
H 0.2500 0.2500 0.2500  4 I 2.45, 4 Ni 2.45
H 0.7500 0.7500 0.7500  4 I 2.45, 4 Ni 2.45
I 0.5000 0.5000 0.5000  8 H 2.45
Ni 0.0000 0.0000 0.0000  8 H 2.45

---

# 2
Ba2HgSb2: optimized geometry, PBE-GGA.

Output
**Energy relative to the elements, uncorrected**: -590 meV per atom

Cell: 6.6347 6.6347 6.9714 Å, 61.59 61.59 90.00°
Last column: nearest neighbours and their distance in Å.
Fractional coordinates of all 5 atoms:
Hg 0.0000 0.0000 0.0000  2 Sb 3.70
Sb 0.6413 0.6413 0.7173  1 Sb 2.92
Sb 0.3587 0.3587 0.2827  1 Sb 2.92
Ba 0.2500 0.7500 0.5000  4 Sb 3.50
Ba 0.7500 0.2500 0.5000  4 Sb 3.50

---

# 3
Ba2LaInO5: optimized geometry, PBE-GGA.

Output
**Energy relative to the elements, uncorrected**: -2501 meV per atom

Cell: 3.7315 7.7003 11.7198 Å, 90.00 90.00 104.02°
Last column: nearest neighbours and their distance in Å.
Fractional coordinates of all 18 atoms:
O 0.7211 0.4423 0.1492  2 La 2.45, 1 Ba 2.68
O 0.3232 0.6463 0.3898  2 La 2.44, 1 In 2.46
O 0.9511 0.9022 0.5419  2 In 2.14
O 0.3755 0.7509 0.9985  1 In 2.23, 1 La 2.38
O 0.6245 0.2491 0.4985  1 In 2.23, 1 La 2.38
O 0.5090 0.0181 0.2843  1 In 2.10
O 0.6768 0.3537 0.8898  2 La 2.44, 1 In 2.46
O 0.0489 0.0978 0.0419  2 In 2.14
O 0.4910 0.9819 0.7843  1 In 2.10
O 0.2789 0.5577 0.6492  2 La 2.45, 1 Ba 2.68
In 0.5216 0.0432 0.9588  4 O 2.10-2.23
In 0.4784 0.9568 0.4588  4 O 2.10-2.23
La 0.7835 0.5670 0.5134  6 O 2.38-2.53
La 0.2165 0.4330 0.0134  6 O 2.38-2.53
Ba 0.1387 0.2775 0.2954  5 O 2.69-2.97
Ba 0.8971 0.7942 0.1926  6 O 2.68-2.96
Ba 0.1029 0.2058 0.6926  6 O 2.68-2.96
Ba 0.8613 0.7225 0.7954  5 O 2.69-2.97

---

# 4
BiPd8Pb2: optimized geometry, PBE-GGA.

Output
**ΔH_f (0 K)**: -233 kJ/mol of formula units
**Excess energy over the best structure of this formula in the dataset**: 9 meV per atom

Cell: 4.2159 6.5510 7.8556 Å, 107.85 105.57 90.00°
Last column: nearest neighbours and their distance in Å.
Fractional coordinates of all 11 atoms:
Pb 0.7913 0.3408 0.5826  9 Pd 2.76-2.92
Pb 0.2087 0.6592 0.4174  9 Pd 2.76-2.92
Bi 0.5000 0.0000 0.0000  12 Pd 2.85-3.08
Pd 0.9634 0.2682 0.9269  1 Pb 2.79, 9 Pd 2.82-3.04, 2 Bi 2.91
Pd 0.5861 0.4573 0.1722  8 Pd 2.82-3.02, 2 Pb 2.84, 1 Bi 2.86
Pd 0.8492 0.7942 0.6985  3 Pb 2.82-2.92, 7 Pd 2.92-3.04, 2 Bi 3.08
Pd 0.3254 0.0801 0.6508  3 Pb 2.76-2.86, 1 Bi 2.85, 8 Pd 2.90-3.04
Pd 0.6746 0.9199 0.3492  3 Pb 2.76-2.86, 1 Bi 2.85, 8 Pd 2.90-3.04
Pd 0.1508 0.2058 0.3015  3 Pb 2.82-2.92, 7 Pd 2.92-3.04, 2 Bi 3.08
Pd 0.0366 0.7318 0.0731  1 Pb 2.79, 9 Pd 2.82-3.04, 2 Bi 2.91
Pd 0.4139 0.5427 0.8278  8 Pd 2.82-3.02, 2 Pb 2.84, 1 Bi 2.86

---

# 5
Cs2CaTiBr6: optimized geometry, PBE-GGA.

Output
**Energy relative to the elements, uncorrected**: -1630 meV per atom

Cell: 7.9022 7.9022 7.9021 Å, 60.00 60.00 90.00°
Last column: nearest neighbours and their distance in Å.
Fractional coordinates of all 10 atoms:
Br 0.7585 0.2415 0.0000  1 Ti 2.70, 1 Ca 2.89
Br 0.7585 0.7585 0.0000  1 Ti 2.70, 1 Ca 2.89
Br 0.2415 0.7585 0.0000  1 Ti 2.70, 1 Ca 2.89
Br 0.2416 0.2416 0.5169  1 Ti 2.70, 1 Ca 2.89
Br 0.2415 0.2415 0.0000  1 Ti 2.70, 1 Ca 2.89
Br 0.7584 0.7584 0.4831  1 Ti 2.70, 1 Ca 2.89
Cs 0.2500 0.7500 0.5000  12 Br 3.95
Cs 0.7500 0.2500 0.5000  12 Br 3.95
Ca 0.5000 0.5000 0.0000  6 Br 2.89
Ti 0.0000 0.0000 0.0000  6 Br 2.70

---

# 6
CePrUO6: optimized geometry, PBE-GGA.

Output
**Energy relative to the elements, uncorrected**: -3250 meV per atom

Cell: 5.9816 5.9816 9.3839 Å, 90.00 90.00 120.00°
Last column: nearest neighbours and their distance in Å.
Fractional coordinates of all 18 atoms:
Ce 0.0000 0.0000 0.0000  6 O 2.39
Ce 0.0000 0.0000 0.5000  6 O 2.39
U 0.3333 0.6667 0.7500  6 O 2.13
U 0.6667 0.3333 0.2500  6 O 2.13
Pr 0.3333 0.6667 0.2500  6 O 2.41
Pr 0.6667 0.3333 0.7500  6 O 2.41
O 0.6419 0.9644 0.8685  1 U 2.13
O 0.6775 0.6419 0.1315  1 U 2.13
O 0.3581 0.0356 0.1315  1 U 2.13
O 0.3225 0.3581 0.8685  1 U 2.13
O 0.0356 0.3581 0.6315  1 U 2.13
O 0.3225 0.9644 0.6315  1 U 2.13
O 0.9644 0.6419 0.3685  1 U 2.13
O 0.6419 0.6775 0.6315  1 U 2.13
O 0.3581 0.3225 0.3685  1 U 2.13
O 0.0356 0.6775 0.8685  1 U 2.13
O 0.9644 0.3225 0.1315  1 U 2.13
O 0.6775 0.0356 0.3685  1 U 2.13

---

# 7
Ag3W: optimized geometry, PBE-GGA.

Output
**ΔH_f (0 K)**: 334 kJ/mol of formula units
**Excess energy over the best structure of this formula in the dataset**: 476 meV per atom

Cell: 5.8840 5.8840 4.6041 Å, 90.00 90.00 120.00°
Last column: nearest neighbours and their distance in Å.
Fractional coordinates of all 8 atoms:
Ag 0.1695 0.8305 0.7500  4 W 2.84-2.94, 8 Ag 2.88-2.99
Ag 0.6609 0.8305 0.7500  4 W 2.84-2.94, 8 Ag 2.88-2.99
Ag 0.3391 0.1695 0.2500  4 W 2.84-2.94, 8 Ag 2.88-2.99
Ag 0.1695 0.3391 0.7500  4 W 2.84-2.94, 8 Ag 2.88-2.99
Ag 0.8305 0.1695 0.2500  4 W 2.84-2.94, 8 Ag 2.88-2.99
Ag 0.8305 0.6609 0.2500  4 W 2.84-2.94, 8 Ag 2.88-2.99
W 0.6667 0.3333 0.7500  12 Ag 2.84-2.94
W 0.3333 0.6667 0.2500  12 Ag 2.84-2.94

---

# 8
ReIrBr2: optimized geometry, PBE-GGA.

Output
**Energy relative to the elements, uncorrected**: 535 meV per atom
**Excess energy over the best structure of this formula in the dataset**: 285 meV per atom

Cell: 10.0427 10.0427 10.0427 Å, 17.54 17.54 17.54°
Last column: nearest neighbours and their distance in Å.
Fractional coordinates of all 4 atoms:
Ir 0.4894 0.4894 0.4894  3 Re 2.63, 3 Br 2.84
Br 0.2311 0.2311 0.2311  3 Ir 2.84, 6 Br 3.06
Br 0.0226 0.0226 0.0226  3 Re 2.68
Re 0.7569 0.7569 0.7569  3 Ir 2.63, 3 Br 2.68